[1]
The following is a PBE calculation of crystalline NdTlPb2I8 at its relaxed geometry, from the Alexandria database.

Output
Fermi-level density of states ... 0.000 states/eV/atom
Crystal system ... monoclinic
Uncorrected energy ... -3.1148 eV per atom
Space group ... No. 10
E_form (uncorrected) ... -10.43 eV/f.u.
Spin magnetization ... 0.000 μB/f.u.

Geometry as POSCAR:
```
NdTlPb2I8
1.0
7.401 0.000 0.000
0.000 9.740 0.000
-0.100 0.000 7.896
Nd Tl Pb I
1 1 2 8
direct
0.000 0.000 0.000 Nd
0.000 0.500 0.000 Tl
0.500 0.253 0.500 Pb
0.500 0.747 0.500 Pb
0.242 0.000 0.670 I
0.250 0.228 0.156 I
0.250 0.772 0.156 I
0.264 0.500 0.639 I
0.736 0.500 0.361 I
0.750 0.228 0.844 I
0.750 0.772 0.844 I
0.758 0.000 0.330 I
```



[2]
The following is a PBE calculation of crystalline Na3Nb2N4 at its relaxed geometry, from the Alexandria database.

Output
Fermi-level density of states ... 0.354 states/eV/atom
Crystal system ... monoclinic
Uncorrected energy ... -6.9612 eV per atom
Space group ... No. 15
E_form (uncorrected) ... -5.25 eV/f.u.
Spin magnetization ... 0.000 μB/f.u.

Geometry as POSCAR:
```
Na3Nb2N4
1.0
5.132 -4.821 0.000
5.132 4.821 0.000
-0.040 0.000 6.088
Na Nb N
6 4 8
direct
0.077 0.923 0.750 Na
0.194 0.601 0.434 Na
0.399 0.806 0.066 Na
0.601 0.194 0.934 Na
0.806 0.399 0.566 Na
0.923 0.077 0.250 Na
0.148 0.359 0.925 Nb
0.359 0.148 0.425 Nb
0.641 0.852 0.575 Nb
0.852 0.641 0.075 Nb
0.124 0.642 0.999 N
0.166 0.288 0.611 N
0.288 0.166 0.111 N
0.358 0.876 0.501 N
0.642 0.124 0.499 N
0.712 0.834 0.889 N
0.834 0.712 0.389 N
0.876 0.358 0.001 N
```



[3]
The following is a PBE calculation of crystalline YBeAg2 at its relaxed geometry, from the Alexandria database.

Output
Fermi-level density of states ... 0.675 states/eV/atom
Crystal system ... monoclinic
Uncorrected energy ... -3.9967 eV per atom
Space group ... No. 12
Formation enthalpy at 0 K ... -0.023 eV/atom
Spin magnetization ... 0.000 μB/f.u.

Geometry as POSCAR:
```
YBeAg2
1.0
3.798 -2.177 0.000
3.798 2.177 0.000
-2.512 0.000 4.717
Y Be Ag
1 1 2
direct
0.000 0.000 0.000 Y
0.500 0.500 0.500 Be
0.213 0.213 0.641 Ag
0.787 0.787 0.359 Ag
```



[4]
The following is a PBE calculation of crystalline RbTbEr2 at its relaxed geometry, from the Alexandria database.

Output
Fermi-level density of states ... 1.157 states/eV/atom
Crystal system ... trigonal
Uncorrected energy ... -3.3649 eV per atom
Space group ... No. 166
Formation enthalpy at 0 K ... 0.316 eV/atom
Spin magnetization ... 0.000 μB/f.u.

Geometry as POSCAR:
```
RbTbEr2
1.0
1.796 1.037 13.120
-1.796 1.037 13.120
0.000 -2.074 13.120
Rb Tb Er
1 1 2
direct
0.000 0.000 0.000 Rb
0.500 0.500 0.500 Tb
0.096 0.096 0.096 Er
0.904 0.904 0.904 Er
```



[5]
The following is a PBE calculation of crystalline AsH2Ir at its relaxed geometry, from the Alexandria database.

Output
Fermi-level density of states ... 0.171 states/eV/atom
Crystal system ... monoclinic
Uncorrected energy ... -4.9991 eV per atom
Space group ... No. 6
Spin magnetization ... 0.000 μB/f.u.

Geometry as POSCAR:
```
AsH2Ir
1.0
2.939 0.000 0.000
0.000 2.939 0.000
-0.044 0.000 5.672
As H Ir
1 2 1
direct
0.000 0.000 0.000 As
0.008 0.500 0.469 H
0.507 0.000 0.470 H
0.505 0.500 0.289 Ir
```



[6]
The following is a PBE calculation of crystalline ErAg4Au at its relaxed geometry, from the Alexandria database.

Output
Fermi-level density of states ... 1.456 states/eV/atom
Crystal system ... cubic
Uncorrected energy ... -3.3777 eV per atom
Space group ... No. 216
Formation enthalpy at 0 K ... -0.170 eV/atom
Spin magnetization ... 0.001 μB/f.u.

Geometry as POSCAR:
```
ErAg4Au
1.0
0.000 3.890 3.890
3.890 0.000 3.890
3.890 3.890 0.000
Er Ag Au
1 4 1
direct
0.000 0.000 0.000 Er
0.375 0.375 0.375 Ag
0.375 0.375 0.875 Ag
0.375 0.875 0.375 Ag
0.875 0.375 0.375 Ag
0.750 0.750 0.750 Au
```